Computed, not measured: Sr4AlCd3 after structural relaxation at the PBE-GGA level of DFT.

abc: 5.6993 5.6993 28.0661
angles: 90.00 90.00 120.00
Space group R-3m (No. 166, hexagonal axes)
Asymmetric unit:
Sr 0.0000 0.0000 0.1233 (multiplicity 6)
Sr 0.0000 0.0000 0.3734 (multiplicity 6)
Al 0.0000 0.0000 0.0000 (multiplicity 3)
Cd 0.0000 0.0000 0.2503 (multiplicity 6)
Cd 0.0000 0.0000 0.5000 (multiplicity 3)

Calculated values
Fermi-level density of states	16.83	states/eV/cell
total magnetic moment	0.00	μB/atom
VASP energy	-1.93	eV per atom
ρ	4.5	g cm⁻³